Entry from Alexandria: SrTmCdGe after structural relaxation (PBE).

```
SrTmCdGe
1.0
0.000 3.758 3.758
3.758 0.000 3.758
3.758 3.758 0.000
Sr Tm Cd Ge
1 1 1 1
direct
0.000 0.000 0.000 Sr
0.500 0.500 0.500 Tm
0.750 0.750 0.750 Cd
0.250 0.250 0.250 Ge
```

Calculated values
Its volume is 106.11 Å³ per cell. As for the calculated formation energy: -0.350 eV per atom.

=====

Entry from Alexandria: Zr2MnZn16 after structural relaxation (PBE).

```
Zr2MnZn16
1.0
4.408 2.545 4.317
-4.408 2.545 4.317
0.000 -5.090 4.317
Zr Mn Zn
2 1 16
direct
0.000 0.000 0.000 Zr
0.335 0.335 0.335 Zr
0.563 0.563 0.563 Mn
0.023 0.023 0.489 Zn
0.023 0.489 0.023 Zn
0.161 0.662 0.662 Zn
0.308 0.308 0.809 Zn
0.308 0.809 0.308 Zn
0.364 0.660 0.958 Zn
0.364 0.958 0.660 Zn
0.489 0.023 0.023 Zn
0.660 0.364 0.958 Zn
0.660 0.958 0.364 Zn
0.662 0.161 0.662 Zn
0.662 0.662 0.161 Zn
0.768 0.768 0.768 Zn
0.809 0.308 0.308 Zn
0.958 0.364 0.660 Zn
0.958 0.660 0.364 Zn
```

Calculated values
Its volume is 290.62 Å³ per cell. As for the calculated formation energy: -0.108 eV per atom.

=====

Entry from Alexandria: KCaGePt2 after structural relaxation (PBE).

```
KCaGePt2
1.0
5.242 0.000 0.000
0.000 5.242 0.000
0.000 0.000 5.492
K Ca Ge Pt
1 1 1 2
direct
0.000 0.000 0.000 K
0.500 0.500 0.500 Ca
0.500 0.500 0.000 Ge
0.000 0.500 0.500 Pt
0.500 0.000 0.500 Pt
```

Calculated values
Its volume is 150.90 Å³ per cell. As for the calculated formation energy: 0.631 eV per atom.

=====

Entry from Alexandria: ErTm2Cu after structural relaxation (PBE).

```
ErTm2Cu
1.0
3.434 0.000 0.000
0.000 3.434 0.000
0.000 0.000 8.587
Er Tm Cu
1 2 1
direct
0.000 0.000 0.000 Er
0.500 0.500 0.301 Tm
0.500 0.500 0.699 Tm
0.000 0.000 0.500 Cu
```

Calculated values
Its volume is 101.24 Å³ per cell. The value obtained for the relative energy among the computed polymorphs is 14 meV per atom. As for the calculated formation energy: -0.112 eV per atom.